# Y7Al2Sn2

Y7Al2Sn2 after structural relaxation (PBE-GGA, Alexandria via LeMat-Bulk).

Lattice parameters (Å, degrees): 6.843 7.525 6.843 90.00 109.83 90.00
Positions (direct):
Y  0.000  0.000  0.000
Y  0.500  0.282  0.000
Y  0.000  0.718  0.500
Y  0.000  0.282  0.500
Y  0.500  0.757  0.500
Y  0.500  0.718  0.000
Y  0.500  0.243  0.500
Al  0.716  0.000  0.284
Al  0.284  0.000  0.716
Sn  0.184  0.500  0.184
Sn  0.816  0.500  0.816

Values from the calculation:
Space group: Cmmm (65)
Calculated total energy, eV per atom: -5.703
Energy of formation from the pure elements, eV per atom: -0.18

# K2TbInO4

K2TbInO4 after structural relaxation (PBE-GGA, Alexandria via LeMat-Bulk).

Lattice parameters (Å, degrees): 3.438 5.923 6.577 107.95 90.00 90.00
Positions (direct):
In  0.000  0.000  0.000
Tb  0.500  0.500  0.000
O  0.000  0.731  0.190
O  0.500  0.222  0.187
O  0.000  0.269  0.810
O  0.500  0.778  0.813
K  0.000  0.500  0.500
K  0.500  0.000  0.500

Values from the calculation:
Energy relative to the elements, uncorrected, eV per atom: -2.1319
Space group: P2/m (10)
Calculated total energy, eV per atom: -5.806

# Ce2Cu6Ru

Ce2Cu6Ru after structural relaxation (PBE-GGA, Alexandria via LeMat-Bulk).

Lattice parameters (Å, degrees): 6.031 5.132 5.938 81.45 90.00 125.99
Positions (direct):
Cu  0.395  0.204  0.647
Cu  0.190  0.796  0.353
Cu  0.134  0.267  0.357
Cu  0.810  0.204  0.647
Cu  0.866  0.733  0.643
Cu  0.605  0.796  0.353
Ru  0.000  0.000  0.000
Ce  0.689  0.378  0.129
Ce  0.311  0.622  0.871

Values from the calculation:
Space group: C2/m (12)
Calculated total energy, eV per atom: -5.220
Energy of formation from the pure elements, eV per atom: -0.14

# Ac2Zn4HgGe3

Ac2Zn4HgGe3 after structural relaxation (PBE-GGA, Alexandria via LeMat-Bulk).

Lattice parameters (Å, degrees): 4.568 4.568 10.471 90.00 90.00 90.00
Positions (direct):
Hg  0.500  0.500  0.500
Zn  0.000  0.500  0.367
Zn  0.500  0.500  0.000
Zn  0.000  0.000  0.000
Zn  0.500  0.000  0.633
Ge  0.500  0.000  0.872
Ge  0.000  0.500  0.128
Ge  0.000  0.000  0.500
Ac  0.500  0.000  0.245
Ac  0.000  0.500  0.755

Values from the calculation:
Space group: P-4m2 (115)
Calculated total energy, eV per atom: -3.170
Energy of formation from the pure elements, eV per atom: -0.42

# SrPrEuY

SrPrEuY after structural relaxation (PBE-GGA, Alexandria via LeMat-Bulk).

Lattice parameters (Å, degrees): 6.064 6.064 6.064 60.00 60.00 60.00
Positions (direct):
Eu  0.250  0.250  0.250
Sr  0.000  0.000  0.000
Y  0.750  0.750  0.750
Pr  0.500  0.500  0.500

Values from the calculation:
Space group: F-43m (216)
Calculated total energy, eV per atom: -5.624
Energy of formation from the pure elements, eV per atom: 0.18

# ErTaB3

ErTaB3 after structural relaxation (PBE-GGA, Alexandria via LeMat-Bulk).

Lattice parameters (Å, degrees): 3.566 3.193 10.237 90.00 100.03 90.00
Positions (direct):
B  0.330  0.750  0.661
B  0.379  0.250  0.759
B  0.522  0.750  0.045
B  0.670  0.250  0.339
B  0.478  0.250  0.955
B  0.621  0.750  0.241
Er  0.072  0.250  0.144
Er  0.928  0.750  0.856
Ta  0.795  0.250  0.589
Ta  0.205  0.750  0.411

Values from the calculation:
Space group: Cmcm (63)
Calculated total energy, eV per atom: -7.932
Energy of formation from the pure elements, eV per atom: -0.64